Computed, not measured: a relaxed structure of LiZn2AgWO6 at the PBE with a Hubbard U level of DFT. Values from VASP.

Computed properties:
**Polymorph energy (0 for the lowest one)**: 34 meV/atom
**SG**: P1, No. 1
**Total DFT energy (no corrections)**: -5.4825 eV per atom

Quantum ESPRESSO input file:
```
&SYSTEM
  ibrav = 0, nat = 11, ntyp = 5
/
ATOMIC_SPECIES
O 16.00 O.upf
Zn 65.41 Zn.upf
Ag 107.87 Ag.upf
W 183.84 W.upf
Li 6.94 Li.upf
CELL_PARAMETERS angstrom
5.648 -0.560 0.615
-1.632 5.646 -0.664
-0.736 -3.302 5.290
ATOMIC_POSITIONS angstrom
O -0.201 -1.810 3.571
O 1.445 3.512 1.423
O -1.421 5.154 -0.033
O 2.965 -3.086 5.217
O 2.067 0.694 2.873
O -1.026 1.263 2.854
Zn 4.593 -1.139 2.839
Zn 0.583 2.234 2.544
Ag 2.663 2.067 0.331
W 3.027 1.725 4.108
Li 2.132 -0.646 1.322
```